w:
A plane-wave DFT calculation with PBE was carried out for an optimized crystal structure of BeAg2Hg2.

```
data_BeAg2Hg2
_chemical_formula_sum 'Be2 Ag4 Hg4'
_cell_length_a 6.426
_cell_length_b 6.426
_cell_length_c 4.620
_cell_angle_alpha 90.00
_cell_angle_beta 90.00
_cell_angle_gamma 90.00
_space_group_name_H-M_alt 'P 4/m b m'
_space_group_IT_number 127
_space_group_name_Hall '-P 4 2ab'
loop_
_atom_site_label
_atom_site_type_symbol
_atom_site_fract_x
_atom_site_fract_y
_atom_site_fract_z
_atom_site_occupancy
Be1 Be 0.000 0.000 0.000 1
Ag1 Ag 0.158 0.342 0.000 1
Hg1 Hg 0.166 0.666 0.500 1
```

## Properties
ρ: 10.9 g/cm³
size of the total moment: 0.00 μB per cell

x:
A plane-wave DFT calculation with PBE was carried out for an optimized crystal structure of BeAg2Hg2.

```
data_BeAg2Hg2
_chemical_formula_sum 'Be2 Ag4 Hg4'
_cell_length_a 6.581
_cell_length_b 6.581
_cell_length_c 4.509
_cell_angle_alpha 90.00
_cell_angle_beta 90.00
_cell_angle_gamma 90.00
_space_group_name_H-M_alt 'P 4/m b m'
_space_group_IT_number 127
_space_group_name_Hall '-P 4 2ab'
loop_
_atom_site_label
_atom_site_type_symbol
_atom_site_fract_x
_atom_site_fract_y
_atom_site_fract_z
_atom_site_occupancy
Be1 Be 0.000 0.000 0.000 1
Ag1 Ag 0.154 0.346 0.500 1
Hg1 Hg 0.163 0.663 0.000 1
```

## Properties
ρ: 10.6 g/cm³
size of the total moment: 0.00 μB per cell

Energy relative to the most stable one, in kJ/mol of atoms: w 0.0; x 3.3

w:
A plane-wave DFT calculation with PBE was carried out for an optimized crystal structure of Be2Ag2I.

```
data_Be2Ag2I
_chemical_formula_sum 'Be4 Ag4 I2'
_cell_length_a 3.935
_cell_length_b 3.935
_cell_length_c 11.642
_cell_angle_alpha 90.00
_cell_angle_beta 90.00
_cell_angle_gamma 90.00
_space_group_name_H-M_alt 'I 4/m m m'
_space_group_IT_number 139
_space_group_name_Hall '-I 4 2'
loop_
_atom_site_label
_atom_site_type_symbol
_atom_site_fract_x
_atom_site_fract_y
_atom_site_fract_z
_atom_site_occupancy
Be1 Be 0.000 0.000 0.098 1
Ag1 Ag 0.000 0.500 0.250 1
I1 I 0.000 0.000 0.500 1
```

## Properties
ρ: 6.6 g/cm³
size of the total moment: 0.00 μB per cell

x:
A plane-wave DFT calculation with PBE was carried out for an optimized crystal structure of Be2Ag2I.

```
data_Be2Ag2I
_chemical_formula_sum 'Be4 Ag4 I2'
_cell_length_a 7.440
_cell_length_b 7.440
_cell_length_c 3.397
_cell_angle_alpha 90.00
_cell_angle_beta 90.00
_cell_angle_gamma 90.00
_space_group_name_H-M_alt 'P 4/m b m'
_space_group_IT_number 127
_space_group_name_Hall '-P 4 2ab'
loop_
_atom_site_label
_atom_site_type_symbol
_atom_site_fract_x
_atom_site_fract_y
_atom_site_fract_z
_atom_site_occupancy
Be1 Be 0.107 0.393 0.000 1
Ag1 Ag 0.139 0.639 0.500 1
I1 I 0.000 0.000 0.500 1
```

## Properties
ρ: 6.4 g/cm³
size of the total moment: 0.00 μB per cell

Energy relative to the most stable one, in kJ/mol of atoms: w 0.0; x 5.9

w:
A plane-wave DFT calculation with PBE was carried out for an optimized crystal structure of Be2AgI.

```
data_Be2AgI
_chemical_formula_sum 'Be8 Ag4 I4'
_cell_length_a 6.579
_cell_length_b 6.579
_cell_length_c 6.579
_cell_angle_alpha 90.00
_cell_angle_beta 90.00
_cell_angle_gamma 90.00
_space_group_name_H-M_alt 'F m -3 m'
_space_group_IT_number 225
_space_group_name_Hall '-F 4 2 3'
loop_
_atom_site_label
_atom_site_type_symbol
_atom_site_fract_x
_atom_site_fract_y
_atom_site_fract_z
_atom_site_occupancy
Be1 Be 0.250 0.250 0.250 1
Ag1 Ag 0.000 0.000 0.000 1
I1 I 0.000 0.000 0.500 1
```

## Properties
ρ: 5.9 g/cm³
size of the total moment: 0.00 μB per cell

x:
A plane-wave DFT calculation with PBE was carried out for an optimized crystal structure of Be2AgI.

```
data_Be2AgI
_chemical_formula_sum 'Be8 Ag4 I4'
_cell_length_a 6.073
_cell_length_b 6.073
_cell_length_c 9.093
_cell_angle_alpha 90.00
_cell_angle_beta 90.00
_cell_angle_gamma 90.00
_space_group_name_H-M_alt 'I -4 2 d'
_space_group_IT_number 122
_space_group_name_Hall 'I -4 2bw'
loop_
_atom_site_label
_atom_site_type_symbol
_atom_site_fract_x
_atom_site_fract_y
_atom_site_fract_z
_atom_site_occupancy
Be1 Be 0.223 0.250 0.125 1
Ag1 Ag 0.000 0.000 0.000 1
I1 I 0.000 0.000 0.500 1
```

## Properties
ρ: 5.0 g/cm³
size of the total moment: 0.00 μB per cell

Energy relative to the most stable one, in kJ/mol of atoms: w 47.9; x 0.0

w:
A plane-wave DFT calculation with PBE was carried out for an optimized crystal structure of BeAg2I2.

```
data_BeAg2I2
_chemical_formula_sum 'Be2 Ag4 I4'
_cell_length_a 7.713
_cell_length_b 7.713
_cell_length_c 4.694
_cell_angle_alpha 90.00
_cell_angle_beta 90.00
_cell_angle_gamma 90.00
_space_group_name_H-M_alt 'P 4/m b m'
_space_group_IT_number 127
_space_group_name_Hall '-P 4 2ab'
loop_
_atom_site_label
_atom_site_type_symbol
_atom_site_fract_x
_atom_site_fract_y
_atom_site_fract_z
_atom_site_occupancy
Be1 Be 0.000 0.000 0.000 1
Ag1 Ag 0.123 0.377 0.500 1
I1 I 0.223 0.723 0.000 1
```

## Properties
ρ: 5.7 g/cm³
size of the total moment: 0.00 μB per cell

x:
A plane-wave DFT calculation with PBE was carried out for an optimized crystal structure of BeAg2I2.

```
data_BeAg2I2
_chemical_formula_sum 'Be2 Ag4 I4'
_cell_length_a 4.421
_cell_length_b 4.421
_cell_length_c 16.194
_cell_angle_alpha 90.00
_cell_angle_beta 90.00
_cell_angle_gamma 90.00
_space_group_name_H-M_alt 'I 4/m m m'
_space_group_IT_number 139
_space_group_name_Hall '-I 4 2'
loop_
_atom_site_label
_atom_site_type_symbol
_atom_site_fract_x
_atom_site_fract_y
_atom_site_fract_z
_atom_site_occupancy
Be1 Be 0.000 0.000 0.000 1
Ag1 Ag 0.000 0.500 0.250 1
I1 I 0.000 0.000 0.369 1
```

## Properties
ρ: 5.0 g/cm³
size of the total moment: 0.00 μB per cell

Energy relative to the most stable one, in kJ/mol of atoms: w 2.8; x 0.0

w:
A plane-wave DFT calculation with PBE was carried out for an optimized crystal structure of BeAgIN2.

```
data_BeAgIN2
_chemical_formula_sum 'Be1 Ag1 I1 N2'
_cell_length_a 3.996
_cell_length_b 3.996
_cell_length_c 7.937
_cell_angle_alpha 90.00
_cell_angle_beta 90.00
_cell_angle_gamma 90.00
_space_group_name_H-M_alt 'P 4/m m m'
_space_group_IT_number 123
_space_group_name_Hall '-P 4 2'
loop_
_atom_site_label
_atom_site_type_symbol
_atom_site_fract_x
_atom_site_fract_y
_atom_site_fract_z
_atom_site_occupancy
Be1 Be 0.000 0.000 0.000 1
Ag1 Ag 0.500 0.500 0.500 1
I1 I 0.500 0.500 0.000 1
N1 N 0.000 0.500 0.500 1
```

## Properties
ρ: 3.6 g/cm³
size of the total moment: 3.35 μB per cell

x:
A plane-wave DFT calculation with PBE was carried out for an optimized crystal structure of BeAgIN2.

```
data_BeAgIN2
_chemical_formula_sum 'Be1 Ag1 I1 N2'
_cell_length_a 3.821
_cell_length_b 3.821
_cell_length_c 6.014
_cell_angle_alpha 90.00
_cell_angle_beta 90.00
_cell_angle_gamma 90.00
_space_group_name_H-M_alt 'P 4/m m m'
_space_group_IT_number 123
_space_group_name_Hall '-P 4 2'
loop_
_atom_site_label
_atom_site_type_symbol
_atom_site_fract_x
_atom_site_fract_y
_atom_site_fract_z
_atom_site_occupancy
Be1 Be 0.000 0.000 0.000 1
Ag1 Ag 0.500 0.500 0.500 1
I1 I 0.000 0.000 0.500 1
N1 N 0.000 0.500 0.000 1
```

## Properties
ρ: 5.1 g/cm³
size of the total moment: 3.12 μB per cell

Energy relative to the most stable one, in kJ/mol of atoms: w 58.8; x 0.0

w:
A plane-wave DFT calculation with PBE was carried out for an optimized crystal structure of BeAgSbI2.

```
data_BeAgSbI2
_chemical_formula_sum 'Be1 Ag1 Sb1 I2'
_cell_length_a 5.229
_cell_length_b 5.229
_cell_length_c 4.816
_cell_angle_alpha 90.00
_cell_angle_beta 90.00
_cell_angle_gamma 90.00
_space_group_name_H-M_alt 'P 4/m m m'
_space_group_IT_number 123
_space_group_name_Hall '-P 4 2'
loop_
_atom_site_label
_atom_site_type_symbol
_atom_site_fract_x
_atom_site_fract_y
_atom_site_fract_z
_atom_site_occupancy
Be1 Be 0.000 0.000 0.000 1
Ag1 Ag 0.000 0.000 0.500 1
Sb1 Sb 0.500 0.500 0.500 1
I1 I 0.000 0.500 0.000 1
```

## Properties
ρ: 6.2 g/cm³
size of the total moment: 0.00 μB per cell

x:
A plane-wave DFT calculation with PBE was carried out for an optimized crystal structure of BeAgSbI2.

```
data_BeAgSbI2
_chemical_formula_sum 'Be1 Ag1 Sb1 I2'
_cell_length_a 5.714
_cell_length_b 5.714
_cell_length_c 5.468
_cell_angle_alpha 90.00
_cell_angle_beta 90.00
_cell_angle_gamma 90.00
_space_group_name_H-M_alt 'P 4/m m m'
_space_group_IT_number 123
_space_group_name_Hall '-P 4 2'
loop_
_atom_site_label
_atom_site_type_symbol
_atom_site_fract_x
_atom_site_fract_y
_atom_site_fract_z
_atom_site_occupancy
Be1 Be 0.000 0.000 0.000 1
Ag1 Ag 0.500 0.500 0.500 1
Sb1 Sb 0.500 0.500 0.000 1
I1 I 0.000 0.500 0.500 1
```

## Properties
ρ: 4.6 g/cm³
size of the total moment: 1.00 μB per cell

Energy relative to the most stable one, in kJ/mol of atoms: w 0.0; x 36.1